Here is PaRhPb2 after structural relaxation from Alexandria via LeMat-Bulk. Energies are from PBE-GGA.

Results
Final energy, eV/atom: -5.81
Spin magnetization, μB/f.u.: 0.01
Energy relative to the elements, eV/atom: 0.258

abc: 3.276 3.276 10.857
angles: 81.32 81.32 60.00
Sites, in units of the cell vectors:
Pb 0.101 0.101 0.697
Pb 0.899 0.899 0.303
Pa 0.000 0.000 0.000
Rh 0.500 0.500 0.500